No. 1
{"formula": "Na3CuO2", "functional": "PBE", "state": "relaxed", "cell": [[-2.989, -2.041, -4.797], [3.080, -4.297, -2.857], [-2.345, -5.440, 1.009]], "species": ["Na", "Na", "Na", "Na", "Na", "Na", "Cu", "Cu", "O", "O", "O", "O"], "frac_coords": [[0.991, 0.250, 0.509], [0.491, 0.009, 0.750], [0.750, 0.491, 0.009], [0.250, 0.509, 0.991], [0.509, 0.991, 0.250], [0.009, 0.750, 0.491], [0.000, 0.000, 0.000], [0.500, 0.500, 0.500], [0.368, 0.368, 0.368], [0.868, 0.868, 0.868], [0.632, 0.632, 0.632], [0.132, 0.132, 0.132]], "rho_g_cm3": 3.0, "raw_formation_energy_ev_per_atom": -1.0870, "spacegroup": "R-3c, No. 167", "de_polymorph_mev_per_atom": 43, "e_tot_ev_per_atom": -4.0819}



No. 2
{"formula": "CsTl2Sb", "functional": "PBE", "state": "relaxed", "cell": [[5.353, 0.000, 0.000], [0.000, 7.329, 0.000], [0.000, 0.000, 8.239]], "species": ["Cs", "Cs", "Tl", "Tl", "Tl", "Tl", "Sb", "Sb"], "frac_coords": [[0.000, 0.000, 0.432], [0.500, 0.500, 0.568], [0.000, 0.264, 0.846], [0.000, 0.736, 0.846], [0.500, 0.236, 0.154], [0.500, 0.764, 0.154], [0.000, 0.500, 0.174], [0.500, 0.000, 0.826]], "rho_g_cm3": 6.8, "raw_formation_energy_ev_per_atom": -0.2278, "spacegroup": "Pmmn, No. 59", "de_polymorph_mev_per_atom": 0, "e_tot_ev_per_atom": -2.6549}



No. 3
{"formula": "NaTaO3", "functional": "PBE", "state": "relaxed", "cell": [[1.849, -6.930, 0.000], [1.849, 6.930, 0.000], [0.000, 0.000, 5.054]], "species": ["Na", "Na", "O", "O", "O", "O", "O", "O", "Ta", "Ta"], "frac_coords": [[0.179, 0.821, 0.250], [0.821, 0.179, 0.750], [0.062, 0.397, 0.250], [0.603, 0.938, 0.250], [0.397, 0.062, 0.750], [0.938, 0.603, 0.750], [0.000, 0.000, 0.000], [0.000, 0.000, 0.500], [0.451, 0.549, 0.250], [0.549, 0.451, 0.750]], "rho_g_cm3": 6.5, "raw_formation_energy_ev_per_atom": -1.3692, "spacegroup": "Cmcm, No. 63", "e_tot_ev_per_atom": -6.9785}



No. 4
{"formula": "ZrAs", "functional": "PBE", "state": "relaxed", "cell": [[3.679, 0.000, 0.000], [-1.839, 3.186, 0.000], [0.000, 0.000, 3.571]], "species": ["As", "Zr"], "frac_coords": [[0.333, 0.667, 0.000], [0.667, 0.333, 0.500]], "e_form_mev_per_atom": -1006, "rho_g_cm3": 6.6, "spacegroup": "P-6m2, No. 187", "e_tot_ev_per_atom": -7.6050}



No. 5
{"formula": "PmSm8Hg6", "functional": "PBE", "state": "relaxed", "cell": [[9.113, 0.000, 0.000], [4.557, 7.892, 0.000], [4.557, 2.631, 6.441]], "species": ["Pm", "Sm", "Sm", "Sm", "Sm", "Sm", "Sm", "Sm", "Sm", "Hg", "Hg", "Hg", "Hg", "Hg", "Hg"], "frac_coords": [[0.000, 0.000, 0.000], [0.553, 0.218, 0.344], [0.782, 0.115, 0.656], [0.115, 0.447, 0.656], [0.667, 0.667, 0.999], [0.333, 0.333, 0.001], [0.885, 0.553, 0.344], [0.218, 0.885, 0.344], [0.447, 0.782, 0.656], [0.390, 0.055, 0.835], [0.945, 0.280, 0.165], [0.280, 0.610, 0.165], [0.720, 0.390, 0.835], [0.055, 0.720, 0.835], [0.610, 0.945, 0.165]], "e_form_mev_per_atom": -246, "rho_g_cm3": 9.1, "spacegroup": "R-3, No. 148", "e_tot_ev_per_atom": -3.2004}



No. 6
{"formula": "TiCu2Ag2", "functional": "PBE", "state": "relaxed", "cell": [[7.298, 0.000, 0.000], [0.000, 7.298, 0.000], [0.000, 0.000, 2.967]], "species": ["Cu", "Cu", "Cu", "Cu", "Ag", "Ag", "Ag", "Ag", "Ti", "Ti"], "frac_coords": [[0.379, 0.879, 0.000], [0.879, 0.621, 0.000], [0.621, 0.121, 0.000], [0.121, 0.379, 0.000], [0.176, 0.676, 0.500], [0.676, 0.824, 0.500], [0.824, 0.324, 0.500], [0.324, 0.176, 0.500], [0.000, 0.000, 0.000], [0.500, 0.500, 0.000]], "e_form_mev_per_atom": 202, "rho_g_cm3": 8.2, "spacegroup": "P4/mbm, No. 127", "de_polymorph_mev_per_atom": 0, "e_tot_ev_per_atom": -4.1564}



No. 7
{"formula": "SrCa3Rh", "functional": "PBE", "state": "relaxed", "cell": [[3.971, -2.293, 0.000], [0.000, 4.585, 0.000], [0.000, 0.000, 23.791]], "species": ["Sr", "Sr", "Ca", "Ca", "Ca", "Ca", "Ca", "Ca", "Rh", "Rh"], "frac_coords": [[0.000, 0.000, 0.000], [0.000, 0.000, 0.500], [0.000, 0.000, 0.250], [0.000, 0.000, 0.750], [0.333, 0.667, 0.865], [0.333, 0.667, 0.635], [0.667, 0.333, 0.365], [0.667, 0.333, 0.135], [0.333, 0.667, 0.750], [0.667, 0.333, 0.250]], "e_form_mev_per_atom": 100, "rho_g_cm3": 2.4, "spacegroup": "P6_3/mmc, No. 194", "de_polymorph_mev_per_atom": 328, "e_tot_ev_per_atom": -2.9072}



No. 8
{"formula": "MnRe3", "functional": "PBE", "state": "relaxed", "cell": [[5.438, 0.000, 0.000], [0.000, 4.395, 0.000], [0.000, 0.000, 4.705]], "species": ["Mn", "Mn", "Re", "Re", "Re", "Re", "Re", "Re"], "frac_coords": [[0.000, 0.000, 0.672], [0.500, 0.500, 0.328], [0.000, 0.500, 0.340], [0.249, 0.000, 0.170], [0.251, 0.500, 0.830], [0.500, 0.000, 0.660], [0.751, 0.000, 0.170], [0.749, 0.500, 0.830]], "e_form_mev_per_atom": 38, "rho_g_cm3": 18.1, "spacegroup": "Pmmn, No. 59", "e_tot_ev_per_atom": -11.5900}



No. 9
{"formula": "K3Cu2O4", "functional": "PBE", "state": "relaxed", "cell": [[3.913, 0.000, 0.000], [-1.957, 5.833, -1.352], [0.000, -4.537, 7.864]], "species": ["K", "K", "K", "Cu", "Cu", "O", "O", "O", "O"], "frac_coords": [[0.602, 0.204, 0.767], [0.000, 0.000, 0.000], [0.398, 0.796, 0.233], [0.745, 0.490, 0.374], [0.255, 0.510, 0.626], [0.721, 0.441, 0.154], [0.279, 0.559, 0.846], [0.748, 0.496, 0.586], [0.252, 0.504, 0.414]], "rho_g_cm3": 3.3, "raw_formation_energy_ev_per_atom": -1.0016, "spacegroup": "C2/m, No. 12", "de_polymorph_mev_per_atom": 58, "e_tot_ev_per_atom": -4.4814}



No. 10
{"formula": "TaV2PdC", "functional": "PBE", "state": "relaxed", "cell": [[3.974, 0.000, 0.000], [0.000, 3.974, 0.000], [0.000, 0.000, 4.301]], "species": ["C", "V", "V", "Pd", "Ta"], "frac_coords": [[0.000, 0.000, 0.000], [0.000, 0.500, 0.000], [0.500, 0.000, 0.000], [0.500, 0.500, 0.500], [0.000, 0.000, 0.500]], "e_form_mev_per_atom": -277, "rho_g_cm3": 9.8, "spacegroup": "P4/mmm, No. 123", "e_tot_ev_per_atom": -9.1785}



No. 11
{"formula": "Ba6Sb2PI", "functional": "PBE", "state": "relaxed", "cell": [[-7.746, 0.466, 2.441], [2.322, -3.979, 8.129], [1.821, 10.891, 4.811]], "species": ["Ba", "Ba", "Ba", "Ba", "Ba", "Ba", "Ba", "Ba", "Ba", "Ba", "Ba", "Ba", "Sb", "Sb", "Sb", "Sb", "P", "P", "I", "I"], "frac_coords": [[0.315, 0.665, 0.074], [0.815, 0.835, 0.574], [0.685, 0.335, 0.926], [0.185, 0.165, 0.426], [0.351, 0.702, 0.424], [0.851, 0.798, 0.924], [0.649, 0.298, 0.576], [0.149, 0.202, 0.076], [0.842, 0.551, 0.236], [0.342, 0.949, 0.736], [0.158, 0.449, 0.764], [0.658, 0.051, 0.264], [0.055, 0.886, 0.250], [0.555, 0.614, 0.750], [0.945, 0.114, 0.750], [0.445, 0.386, 0.250], [0.500, 0.000, 0.500], [0.000, 0.500, 0.000], [0.500, 0.000, 0.000], [0.000, 0.500, 0.500]], "rho_g_cm3": 4.4, "raw_formation_energy_ev_per_atom": -1.0222, "spacegroup": "P2_1/c, No. 14", "e_tot_ev_per_atom": -3.6963}



No. 12
{"formula": "MgTl2Tc", "functional": "PBE", "state": "relaxed", "cell": [[3.621, 0.000, 0.000], [0.000, 3.621, 0.000], [0.000, 0.000, 6.193]], "species": ["Mg", "Tc", "Tl", "Tl"], "frac_coords": [[0.500, 0.500, 0.250], [0.500, 0.500, 0.750], [0.000, 0.000, 0.989], [0.000, 0.000, 0.511]], "e_form_mev_per_atom": 454, "rho_g_cm3": 10.9, "spacegroup": "P4/mmm, No. 123", "de_polymorph_mev_per_atom": 59, "e_tot_ev_per_atom": -3.7191}